Record 1
VASP calculation (PBE) on a relaxed structure of HoTm15In4.

abc: 4.7962 4.7962 24.3156
angles: 90.00 90.00 90.00
With the nearest neighbours (Å) after each atom.
Fractional positions:
Ho: 0.0000 0.0000 0.0000  12 Tm 3.39-3.49
Tm: 0.0000 0.5000 0.1043  8 Tm 3.39-3.49, 2 In 3.44, 2 Ho 3.49
Tm: 0.0000 0.5000 0.3030  4 In 3.37-3.39, 8 Tm 3.39
Tm: 0.0000 0.5000 0.5000  4 In 3.39, 8 Tm 3.39
Tm: 0.0000 0.5000 0.6970  4 In 3.37-3.39, 8 Tm 3.39
Tm: 0.0000 0.5000 0.8957  8 Tm 3.39-3.49, 2 In 3.44, 2 Ho 3.49
Tm: 0.5000 0.0000 0.1043  8 Tm 3.39-3.49, 2 In 3.44, 2 Ho 3.49
Tm: 0.5000 0.0000 0.3030  4 In 3.37-3.39, 8 Tm 3.39
Tm: 0.5000 0.0000 0.5000  4 In 3.39, 8 Tm 3.39
Tm: 0.5000 0.0000 0.6970  4 In 3.37-3.39, 8 Tm 3.39
Tm: 0.5000 0.0000 0.8957  8 Tm 3.39-3.49, 2 In 3.44, 2 Ho 3.49
Tm: 0.5000 0.5000 0.0000  4 Ho 3.39, 8 Tm 3.49
Tm: 0.5000 0.5000 0.2047  8 Tm 3.39-3.42, 4 In 3.39
Tm: 0.5000 0.5000 0.4015  8 Tm 3.39, 4 In 3.39
Tm: 0.5000 0.5000 0.5985  8 Tm 3.39, 4 In 3.39
Tm: 0.5000 0.5000 0.7953  8 Tm 3.39-3.42, 4 In 3.39
In: 0.0000 0.0000 0.2055  12 Tm 3.37-3.44
In: 0.0000 0.0000 0.4016  12 Tm 3.39
In: 0.0000 0.0000 0.5984  12 Tm 3.39
In: 0.0000 0.0000 0.7945  12 Tm 3.37-3.44

Record 2
VASP calculation (PBE) on a relaxed structure of HoTm5In5.

abc: 8.5870 8.5870 6.8401
angles: 96.98 96.98 38.80
With the nearest neighbours (Å) after each atom.
Fractional positions:
Ho: 0.0000 0.0000 0.0000  4 In 2.85-3.11
Tm: 0.0000 0.0000 0.5000  4 In 3.04-3.36
Tm: 0.3240 0.3240 0.0588  5 In 2.93-3.25
Tm: 0.3712 0.3712 0.5729  6 In 3.16-3.49, 2 Tm 3.50-3.51
Tm: 0.6288 0.6288 0.4271  6 In 3.16-3.49, 2 Tm 3.50-3.51
Tm: 0.6760 0.6760 0.9412  5 In 2.93-3.25
In: 0.1704 0.1704 0.2680  4 Tm 3.03-3.36, 1 In 3.04, 1 Ho 3.11
In: 0.1766 0.1766 0.7148  4 Tm 3.04-3.25, 1 In 3.04
In: 0.5000 0.5000 0.0000  2 Ho 2.85, 2 Tm 2.93
In: 0.8234 0.8234 0.2852  4 Tm 3.04-3.25, 1 In 3.04
In: 0.8296 0.8296 0.7320  4 Tm 3.03-3.36, 1 In 3.04, 1 Ho 3.11

It is found that the formation energy values, taken in the order of the records, are -0.196 -0.150 eV per atom.
It is found that the total magnetic moment values, taken in the order of the records, are 0.00 0.00 μB/f.u..